Below is a relaxed structure of SmCdF, with properties calculated at the PBE level.

The structure belongs to space group Amm2 (No. 38); the cell edges are 14.489, 3.569 and 6.182 Å and the angles 90.00°, 90.00° and 90.00°. The asymmetric unit holds Sm at (0.178, 0.000, 0.000), Cd at (0.000, 0.000, 0.667), Cd at (0.500, 0.000, 0.720) and F at (0.268, 0.000, 0.667).

Its magnetization is 1.993 Bohr magnetons per cell. The volume comes out at 26.64 A^3/atom. The calculation puts the density of states at the Fermi level at 0.537 states/eV/atom. For the energy relative to the elements, uncorrected, the calculation gives -1.540 eV per atom.